The following is a DFT calculation (PBE-GGA) of a relaxed structure of BaNb2Zn.

```
data_BaNb2Zn
_space_group_name_H-M_alt 'P 1'
_space_group_IT_number 1
_cell_length_a 12.727
_cell_length_b 12.727
_cell_length_c 12.727
_cell_angle_alpha 164.08
_cell_angle_beta 159.07
_cell_angle_gamma 26.40
loop_
_space_group_symop_operation_xyz
'x,y,z'
loop_
_atom_site_label
_atom_site_type_symbol
_atom_site_fract_x
_atom_site_fract_y
_atom_site_fract_z
Ba1 Ba 0.313 0.063 0.250
Ba2 Ba 0.687 0.937 0.750
Nb1 Nb 0.045 0.795 0.250
Nb2 Nb 0.457 0.707 0.750
Nb3 Nb 0.543 0.293 0.250
Nb4 Nb 0.955 0.205 0.750
Zn1 Zn 0.128 0.378 0.750
Zn2 Zn 0.872 0.622 0.250
```

=====

# BaNb3Zn PBE-GGA optimized geometry
data_BaNb3Zn
_space_group_name_H-M_alt 'P 1'
_space_group_IT_number 1
_cell_length_a 5.060
_cell_length_b 5.060
_cell_length_c 5.060
_cell_angle_alpha 90.00
_cell_angle_beta 90.00
_cell_angle_gamma 90.00
loop_
_space_group_symop_operation_xyz
'x,y,z'
loop_
_atom_site_label
_atom_site_type_symbol
_atom_site_fract_x
_atom_site_fract_y
_atom_site_fract_z
Ba1 Ba 0.000 0.000 0.000
Nb1 Nb 0.000 0.000 0.500
Nb2 Nb 0.000 0.500 0.000
Nb3 Nb 0.500 0.000 0.000
Zn1 Zn 0.500 0.500 0.500
# Offset from the most stable computed form (meV per atom): 1185

=====

The following is a DFT calculation (PBE-GGA) of a relaxed structure of BaNb2Zn.

```
data_BaNb2Zn
_space_group_name_H-M_alt 'P 1'
_space_group_IT_number 1
_cell_length_a 4.634
_cell_length_b 4.634
_cell_length_c 12.604
_cell_angle_alpha 90.00
_cell_angle_beta 90.00
_cell_angle_gamma 120.00
loop_
_space_group_symop_operation_xyz
'x,y,z'
loop_
_atom_site_label
_atom_site_type_symbol
_atom_site_fract_x
_atom_site_fract_y
_atom_site_fract_z
Ba1 Ba 0.000 0.000 0.000
Ba2 Ba 0.333 0.667 0.681
Nb1 Nb 0.000 0.000 0.297
Nb2 Nb 0.000 0.000 0.500
Nb3 Nb 0.333 0.667 0.380
Nb4 Nb 0.667 0.333 0.451
Zn1 Zn 0.333 0.667 0.164
Zn2 Zn 0.667 0.333 0.224
```

=====

Listing calculated total energy for the structures above in their given order: -0.418; -0.307; -0.415 Ry per atom.
Listing energy of formation from the pure elements for the structures above in their given order: 0.151; 2.502; 0.190 eV/atom.